Material: HfTi2Ni6
Method: DFT, PBE
State: relaxed

Calculated values
- Formation energy from the elements: -0.197 eV per atom
- Calculated volume: 123.6 Å³ per cell
- Density of states at the Fermi level: 5.36 states/eV/cell
- Total magnetization: 0.000 μB per formula unit

a b c (Å): 5.029 5.029 5.644
angles (deg): 90.00 90.00 120.00
Fractional positions:
Hf (0.000, 0.000, 0.000)
Ti (0.333, 0.667, 0.182)
Ti (0.667, 0.333, 0.818)
Ni (0.177, 0.354, 0.666)
Ni (0.177, 0.823, 0.666)
Ni (0.354, 0.177, 0.334)
Ni (0.646, 0.823, 0.666)
Ni (0.823, 0.177, 0.334)
Ni (0.823, 0.646, 0.334)